Entry from OQMD: NiMoAsIr after structural relaxation (GGA-PBE).

Structure (POSCAR):
```
NiMoAsIr
1.0
0.000 3.063 3.063
3.063 0.000 3.063
3.063 3.063 0.000
Ni Mo As Ir
1 1 1 1
Direct
0.000 0.000 0.000 Ni
0.500 0.500 0.500 Mo
0.750 0.750 0.750 As
0.250 0.250 0.250 Ir
```

Computed properties:
- calculated volume (Å³/cell) = 57
- M_tot (μB/f.u.) = 0.01
- total DFT energy (no corrections) (eV/atom) = -7.4007